Density functional theory data (GGA-PBE) for an optimized crystal structure of Rb3La2SnTe6.

Values from the calculation:
**Energy**: -4.116 eV/atom

a = 8.137 Å, b = 8.137 Å, c = 8.962 Å
α = 98.71°, β = 98.71°, γ = 120.01°
Fractional coordinates of all 12 atoms:
Te 0.609 0.933 0.798
Te 0.744 0.744 0.203
La 0.666 0.334 0.000
Te 0.933 0.609 0.798
La 0.334 0.666 0.000
Rb 0.500 0.500 0.500
Sn 0.000 0.000 0.000
Rb 0.168 0.832 0.500
Te 0.067 0.391 0.202
Rb 0.832 0.168 0.500
Te 0.256 0.256 0.797
Te 0.391 0.067 0.202



Density functional theory data (GGA-PBE) for an optimized crystal structure of Rb4La3SnTe8.

Values from the calculation:
**Energy**: -4.224 eV/atom

a = 9.419 Å, b = 10.125 Å, c = 9.420 Å
α = 117.72°, β = 120.00°, γ = 90.00°
Fractional coordinates of all 16 atoms:
Rb 0.000 0.000 0.000
Te 0.257 0.298 0.028
Rb 0.500 0.000 0.000
Te 0.229 0.702 0.459
Te 0.229 0.702 0.972
Te 0.743 0.702 0.972
Te 0.264 0.293 0.528
La 0.000 0.500 0.500
Te 0.736 0.707 0.472
La 0.500 0.500 0.500
Te 0.771 0.298 0.541
Rb 0.500 0.000 0.500
La 0.500 0.500 0.000
Te 0.771 0.298 0.028
Sn 0.000 0.500 0.000
Rb 0.000 0.000 0.500



Density functional theory data (GGA-PBE) for an optimized crystal structure of RbLaZr2Sn.

Values from the calculation:
**ΔH_f (0 K)**: 4.2 eV per formula unit

a = 5.535 Å, b = 6.195 Å, c = 5.535 Å
α = 90.00°, β = 90.00°, γ = 90.00°
Each line ends with the local moment (μB).
Fractional coordinates of all 5 atoms:
Zr 0.500 0.000 0.000  0.27
Sn 0.000 0.000 0.000  0.00
Rb 0.000 0.500 0.000  0.00
La 0.500 0.500 0.500  0.10
Zr 0.000 0.000 0.500  0.36



Density functional theory data (GGA-PBE) for an optimized crystal structure of RbSrLa3.

Values from the calculation:
**Excess energy over the best structure of this formula in the dataset**: 7.2 meV/atom
**ΔH_f (0 K)**: 4.2 eV per formula unit

a = 6.019 Å, b = 6.019 Å, c = 6.019 Å
α = 90.00°, β = 90.00°, γ = 90.00°
Fractional coordinates of all 5 atoms:
Rb 0.000 0.000 0.000
La 0.500 0.000 0.000
La 0.000 0.500 0.000
La 0.000 0.000 0.500
Sr 0.500 0.500 0.500



no.,DOS(E_F) (states/eV/f.u.)
1,5.2
2,2.6
3,7.5
4,5.3